# NaMnAlFe

An optimized crystal structure of NaMnAlFe (GGA-PBE, Alexandria).

```
8
Lattice="5.814 0.000 0.857 0.000 2.702 0.000 -2.142 0.000 8.293" Properties=species:S:1:pos:R:3 pbc="T T T"
Fe -0.020 0.000 7.291
Fe 1.051 1.351 3.145
Mn 0.417 0.000 1.072
Mn -0.654 1.351 5.218
Na 3.951 0.000 3.599
Na 2.880 1.351 7.745
Al 1.533 0.000 5.255
Al 2.604 1.351 1.108
```

Values from the calculation:
Total magnetization in μB/f.u.: 5.4
Energy above the lowest structure with this stoichiometry in eV/atom: 0.187